No. 1
The following is a PBE calculation of a relaxed structure of Hf2NpPt, from Alexandria.

Values from the calculation:
Final energy: -39.91 eV per cell
Crystal system: tetragonal
E above lowest polymorph: 7.0 kJ/mol of atoms
Calculated formation energy: -0.255 eV per atom
Magnetic moment: 3.5 μB/f.u.
Density of states at the Fermi level: 1.51 states/eV/atom
Calculated volume: 78 Å³ per cell

abc: 5.0205 5.0205 3.0899
angles: 90.00 90.00 90.00
Space group P4/mmm (No. 123)
Inequivalent atoms, fractional coordinates:
1 Hf 0.0000 0.5000 0.0000 (multiplicity 2)
2 Np 0.0000 0.0000 0.5000 (multiplicity 1)
3 Pt 0.5000 0.5000 0.5000 (multiplicity 1)

No. 2
The following is a PBE calculation of a relaxed structure of ScInTc2C, from Alexandria.

Values from the calculation:
Final energy: -39.77 eV per cell
Crystal system: tetragonal
Calculated formation energy: -0.148 eV per atom
Magnetic moment: 0.0 μB/f.u.
Density of states at the Fermi level: 0.83 states/eV/atom
Calculated volume: 76 Å³ per cell

abc: 4.1535 4.1535 4.4340
angles: 90.00 90.00 90.00
Space group P4/mmm (No. 123)
Inequivalent atoms, fractional coordinates:
1 Sc 0.0000 0.0000 0.0000 (multiplicity 1)
2 In 0.5000 0.5000 0.0000 (multiplicity 1)
3 Tc 0.0000 0.5000 0.5000 (multiplicity 2)
4 C 0.0000 0.0000 0.5000 (multiplicity 1)

No. 3
The following is a PBE calculation of a relaxed structure of NaAg2WAu, from Alexandria.

Values from the calculation:
Final energy: -17.49 eV per cell
Crystal system: tetragonal
Calculated formation energy: 1.153 eV per atom
Magnetic moment: 2.8 μB/f.u.
Density of states at the Fermi level: 0.40 states/eV/atom
Calculated volume: 138 Å³ per cell

abc: 5.2603 5.2603 4.9850
angles: 90.00 90.00 90.00
Space group P4/mmm (No. 123)
Inequivalent atoms, fractional coordinates:
1 Na 0.0000 0.0000 0.0000 (multiplicity 1)
2 Ag 0.0000 0.5000 0.5000 (multiplicity 2)
3 W 0.5000 0.5000 0.0000 (multiplicity 1)
4 Au 0.5000 0.5000 0.5000 (multiplicity 1)

No. 4
The following is a PBE calculation of a relaxed structure of VI3Cl, from Alexandria.

Values from the calculation:
Final energy: -36.42 eV per cell
Crystal system: monoclinic
E above lowest polymorph: 0.0 kJ/mol of atoms
Magnetic moment: 1.0 μB/f.u.
Density of states at the Fermi level: 0.17 states/eV/atom
Calculated volume: 387 Å³ per cell

abc: 6.6469 8.0463 7.4294
angles: 90.00 103.24 90.00
Space group P2_1/m (No. 11)
Inequivalent atoms, fractional coordinates:
1 V 0.0073 0.2500 0.4944 (multiplicity 2)
2 I 0.1790 0.0097 0.3286 (multiplicity 4)
3 I 0.2968 0.2500 0.8010 (multiplicity 2)
4 Cl 0.2911 0.7500 0.7122 (multiplicity 2)

No. 5
The following is a PBE calculation of a relaxed structure of BeCl2, from Alexandria.

Values from the calculation:
Final energy: -17.55 eV per cell
Crystal system: hexagonal
E above lowest polymorph: 94.7 kJ/mol of atoms
Magnetic moment: 0.0 μB/f.u.
Density of states at the Fermi level: 0.00 states/eV/atom
Calculated volume: 106 Å³ per cell

abc: 3.6279 3.6279 9.3063
angles: 90.00 90.00 120.00
Space group P6_3/mmc (No. 194)
Inequivalent atoms, fractional coordinates:
1 Be 0.3333 0.6667 0.2500 (multiplicity 2)
2 Cl 0.0000 0.0000 0.0000 (multiplicity 2)
3 Cl 0.3333 0.6667 0.7500 (multiplicity 2)

No. 6
The following is a PBE calculation of a relaxed structure of LiLaCl2, from Alexandria.

Values from the calculation:
Final energy: -16.48 eV per cell
Crystal system: monoclinic
E above lowest polymorph: 17.7 kJ/mol of atoms
Magnetic moment: 0.0 μB/f.u.
Density of states at the Fermi level: 0.50 states/eV/atom
Calculated volume: 91 Å³ per cell

abc: 3.7256 3.6762 6.6152
angles: 90.00 90.20 90.00
Space group P2/m (No. 10)
Inequivalent atoms, fractional coordinates:
1 Li 0.0000 0.0000 0.0000 (multiplicity 1)
2 La 0.5000 0.0000 0.5000 (multiplicity 1)
3 Cl 0.0015 0.5000 0.7390 (multiplicity 2)

No. 7
The following is a PBE calculation of a relaxed structure of LiEuCd2, from Alexandria.

Values from the calculation:
Final energy: -14.70 eV per cell
Crystal system: tetragonal
E above lowest polymorph: 9.6 kJ/mol of atoms
Calculated formation energy: -0.171 eV per atom
Magnetic moment: 7.5 μB/f.u.
Density of states at the Fermi level: 1.48 states/eV/atom
Calculated volume: 106 Å³ per cell

abc: 5.5155 5.5155 3.4803
angles: 90.00 90.00 90.00
Space group P4/mmm (No. 123)
Inequivalent atoms, fractional coordinates:
1 Li 0.0000 0.0000 0.0000 (multiplicity 1)
2 Eu 0.5000 0.5000 0.0000 (multiplicity 1)
3 Cd 0.0000 0.5000 0.5000 (multiplicity 2)

No. 8
The following is a PBE calculation of a relaxed structure of Li2YZr2S6, from Alexandria.

Values from the calculation:
Final energy: -140.18 eV per cell
Crystal system: monoclinic
Magnetic moment: 0.0 μB/f.u.
Density of states at the Fermi level: 0.35 states/eV/atom
Calculated volume: 453 Å³ per cell

abc: 6.4599 11.2742 6.5851
angles: 90.00 109.30 90.00
Space group C2/m (No. 12)
Inequivalent atoms, fractional coordinates:
1 Li 0.0000 0.1667 0.0000 (multiplicity 4)
2 Y 0.0000 0.0000 0.5000 (multiplicity 2)
3 Zr 0.0000 0.3350 0.5000 (multiplicity 4)
4 S 0.2376 0.5000 0.7472 (multiplicity 4)
5 S 0.2467 0.3247 0.2557 (multiplicity 8)

No. 9
The following is a PBE calculation of a relaxed structure of KPuO2, from Alexandria.

Values from the calculation:
Final energy: -33.34 eV per cell
Crystal system: tetragonal
Magnetic moment: 5.0 μB/f.u.
Density of states at the Fermi level: 1.71 states/eV/atom
Calculated volume: 61 Å³ per cell

abc: 3.0467 3.0467 6.5622
angles: 90.00 90.00 90.00
Space group P4/mmm (No. 123)
Inequivalent atoms, fractional coordinates:
1 K 0.0000 0.0000 0.0000 (multiplicity 1)
2 Pu 0.0000 0.0000 0.5000 (multiplicity 1)
3 O 0.5000 0.5000 0.2997 (multiplicity 2)

No. 10
The following is a PBE calculation of a relaxed structure of HfMnCr, from Alexandria.

Values from the calculation:
Final energy: -115.09 eV per cell
Crystal system: orthorhombic
E above lowest polymorph: 18.4 kJ/mol of atoms
Calculated formation energy: -0.008 eV per atom
Magnetic moment: 0.0 μB/f.u.
Density of states at the Fermi level: 0.59 states/eV/atom
Calculated volume: 172 Å³ per cell

abc: 3.0381 13.1681 4.3114
angles: 90.00 90.00 90.00
Space group Cmcm (No. 63)
Inequivalent atoms, fractional coordinates:
1 Hf 0.0000 0.0853 0.2500 (multiplicity 4)
2 Mn 0.0000 0.4034 0.2500 (multiplicity 4)
3 Cr 0.0000 0.2410 0.7500 (multiplicity 4)

No. 11
The following is a PBE calculation of a relaxed structure of Mg2CrCd, from Alexandria.

Values from the calculation:
Final energy: -51.94 eV per cell
Crystal system: cubic
Calculated formation energy: 0.186 eV per atom
Magnetic moment: 3.9 μB/f.u.
Density of states at the Fermi level: 0.52 states/eV/atom
Calculated volume: 313 Å³ per cell

abc: 6.7862 6.7862 6.7862
angles: 90.00 90.00 90.00
Space group F-43m (No. 216)
Inequivalent atoms, fractional coordinates:
1 Mg 0.0000 0.0000 0.0000 (multiplicity 4)
2 Mg 0.2500 0.2500 0.2500 (multiplicity 4)
3 Cr 0.2500 0.2500 0.7500 (multiplicity 4)
4 Cd 0.0000 0.0000 0.5000 (multiplicity 4)

No. 12
The following is a PBE calculation of a relaxed structure of ZrSbH3, from Alexandria.

Values from the calculation:
Final energy: -18.86 eV per cell
Crystal system: cubic
E above lowest polymorph: 72.3 kJ/mol of atoms
Magnetic moment: 0.2 μB/f.u.
Density of states at the Fermi level: 0.76 states/eV/atom
Calculated volume: 61 Å³ per cell

abc: 3.9421 3.9421 3.9421
angles: 90.00 90.00 90.00
Space group Pm-3m (No. 221)
Inequivalent atoms, fractional coordinates:
1 Zr 0.0000 0.0000 0.0000 (multiplicity 1)
2 Sb 0.5000 0.5000 0.5000 (multiplicity 1)
3 H 0.0000 0.5000 0.5000 (multiplicity 3)

No. 13
The following is a PBE calculation of a relaxed structure of BaBHRh2, from Alexandria.

Values from the calculation:
Final energy: -15.93 eV per cell
Crystal system: tetragonal
E above lowest polymorph: 197.4 kJ/mol of atoms
Magnetic moment: 0.0 μB/f.u.
Density of states at the Fermi level: 0.70 states/eV/atom
Calculated volume: 102 Å³ per cell

abc: 5.1510 5.1510 3.8623
angles: 90.00 90.00 90.00
Space group P4/mmm (No. 123)
Inequivalent atoms, fractional coordinates:
1 Ba 0.0000 0.0000 0.0000 (multiplicity 1)
2 B 0.5000 0.5000 0.5000 (multiplicity 1)
3 H 0.0000 0.0000 0.5000 (multiplicity 1)
4 Rh 0.0000 0.5000 0.0000 (multiplicity 2)

No. 14
The following is a PBE calculation of a relaxed structure of Ta2InW, from Alexandria.

Values from the calculation:
Final energy: -38.30 eV per cell
Crystal system: tetragonal
Calculated formation energy: 0.274 eV per atom
Magnetic moment: 0.0 μB/f.u.
Density of states at the Fermi level: 0.33 states/eV/atom
Calculated volume: 74 Å³ per cell

abc: 2.8340 2.8340 9.2013
angles: 90.00 90.00 90.00
Space group P4/mmm (No. 123)
Inequivalent atoms, fractional coordinates:
1 Ta 0.0000 0.0000 0.2445 (multiplicity 2)
2 In 0.5000 0.5000 0.5000 (multiplicity 1)
3 W 0.5000 0.5000 0.0000 (multiplicity 1)

No. 15
The following is a PBE calculation of a relaxed structure of RePdSe2N, from Alexandria.

Values from the calculation:
Final energy: -30.61 eV per cell
Crystal system: tetragonal
E above lowest polymorph: 0.0 kJ/mol of atoms
Magnetic moment: 0.0 μB/f.u.
Density of states at the Fermi level: 0.84 states/eV/atom
Calculated volume: 93 Å³ per cell

abc: 5.0045 5.0045 3.7112
angles: 90.00 90.00 90.00
Space group P4/mmm (No. 123)
Inequivalent atoms, fractional coordinates:
1 Re 0.0000 0.0000 0.0000 (multiplicity 1)
2 Pd 0.5000 0.5000 0.5000 (multiplicity 1)
3 Se 0.0000 0.5000 0.0000 (multiplicity 2)
4 N 0.0000 0.0000 0.5000 (multiplicity 1)

No. 16
The following is a PBE calculation of a relaxed structure of Ca2SbPb, from Alexandria.

Values from the calculation:
Final energy: -42.27 eV per cell
Crystal system: trigonal
E above lowest polymorph: 11.9 kJ/mol of atoms
Magnetic moment: 0.0 μB/f.u.
Density of states at the Fermi level: 0.63 states/eV/atom
Calculated volume: 388 Å³ per cell

abc: 3.9948 3.9948 28.0828
angles: 90.00 90.00 120.00
Space group R-3m (No. 166, hexagonal axes)
Inequivalent atoms, fractional coordinates:
1 Ca 0.0000 0.0000 0.2429 (multiplicity 6)
2 Sb 0.0000 0.0000 0.5000 (multiplicity 3)
3 Pb 0.0000 0.0000 0.0000 (multiplicity 3)

No. 17
The following is a PBE calculation of a relaxed structure of CdCu2SbSe, from Alexandria.

Values from the calculation:
Final energy: -14.10 eV per cell
Crystal system: tetragonal
Magnetic moment: 1.0 μB/f.u.
Density of states at the Fermi level: 0.55 states/eV/atom
Calculated volume: 132 Å³ per cell

abc: 4.8076 4.8076 5.7135
angles: 90.00 90.00 90.00
Space group P4/mmm (No. 123)
Inequivalent atoms, fractional coordinates:
1 Cd 0.0000 0.0000 0.0000 (multiplicity 1)
2 Cu 0.0000 0.5000 0.5000 (multiplicity 2)
3 Sb 0.0000 0.0000 0.5000 (multiplicity 1)
4 Se 0.5000 0.5000 0.0000 (multiplicity 1)

No. 18
The following is a PBE calculation of a relaxed structure of MgSc2Ta, from Alexandria.

Values from the calculation:
Final energy: -72.98 eV per cell
Crystal system: trigonal
Calculated formation energy: 0.446 eV per atom
Magnetic moment: 1.1 μB/f.u.
Density of states at the Fermi level: 1.53 states/eV/atom
Calculated volume: 266 Å³ per cell

abc: 3.0404 3.0404 33.2811
angles: 90.00 90.00 120.00
Space group R-3m (No. 166, hexagonal axes)
Inequivalent atoms, fractional coordinates:
1 Mg 0.0000 0.0000 0.0000 (multiplicity 3)
2 Sc 0.0000 0.0000 0.4147 (multiplicity 6)
3 Ta 0.0000 0.0000 0.5000 (multiplicity 3)